A plane-wave DFT calculation with GGA-PBE was carried out for a geometry-optimized ZrIn2Ag structure.

Results
Its formation enthalpy at 0 K is -8 meV/atom. Its total energy is -16.91 eV per cell. The space group is Immm.

Geometry as POSCAR:
```
ZrIn2Ag
1.0
-1.147 -4.256 4.087
3.240 0.275 5.056
-4.087 2.401 -3.697
In Zr Ag
2 1 1
direct
0.486 0.486 0.000 In
0.014 0.014 0.000 In
0.750 0.250 0.500 Zr
0.250 0.750 0.500 Ag
```